1.
A plane-wave DFT calculation with PBE-GGA was carried out for a relaxed structure of SiBr2Cl.

Calculated values
- Uncorrected formation energy: -56 meV/atom
- N(E_F): 4.4 states/eV per cell
- Total moment: 0.7 μB per cell
- E: -10.8 eV per formula unit
- Energy above the lowest structure with this stoichiometry: 40.56 kJ per mole of atoms
- Space-group type: R3m (160)

Cell: 10.0872 10.0872 10.0872 Å, 21.18 21.18 21.18°
Last column: nearest neighbours and their distance in Å.
Positions (direct):
Si (0.0000, 0.0000, 0.0000)  3 Cl 2.60, 3 Br 2.71
Br (0.2772, 0.2772, 0.2772)  3 Si 2.71
Br (0.5000, 0.5000, 0.5000)  9 Br 3.71-3.91, 3 Cl 4.06
Cl (0.7166, 0.7166, 0.7166)  3 Si 2.60



2.
A plane-wave DFT calculation with PBE-GGA was carried out for a relaxed structure of Mn3PdBr.

Calculated values
- Uncorrected formation energy: 667 meV/atom
- N(E_F): 3.3 states/eV per cell
- Total moment: 13.9 μB per cell
- E: -31.0 eV per formula unit
- Energy above the lowest structure with this stoichiometry: 0.00 kJ per mole of atoms
- Space-group type: Pm-3m (221)

Cell: 4.9650 4.9650 4.9650 Å, 90.00 90.00 90.00°
Last column: nearest neighbours and their distance in Å.
Positions (direct):
Mn (0.0000, 0.0000, 0.5000)  2 Pd 2.48
Mn (0.0000, 0.5000, 0.0000)  2 Pd 2.48
Mn (0.5000, 0.0000, 0.0000)  2 Pd 2.48
Pd (0.0000, 0.0000, 0.0000)  6 Mn 2.48
Br (0.5000, 0.5000, 0.5000)  12 Mn 3.51



3.
A plane-wave DFT calculation with PBE-GGA was carried out for a relaxed structure of CuNi2Ru.

Calculated values
- N(E_F): 5.8 states/eV per cell
- Total moment: 0.0 μB per cell
- Energy of formation: 112.5 meV/atom
- E: -24.5 eV per formula unit
- Energy above the lowest structure with this stoichiometry: 2.53 kJ per mole of atoms
- Space-group type: P2/m (10)

Cell: 2.5838 3.6201 5.1227 Å, 90.00 90.10 90.00°
Last column: nearest neighbours and their distance in Å.
Positions (direct):
Cu (0.0000, 0.0000, 0.0000)  2 Ru 2.56, 8 Ni 2.57-2.58, 2 Cu 2.58
Ni (0.4984, 0.5000, 0.2527)  4 Ni 2.53-2.59, 4 Ru 2.56, 4 Cu 2.57-2.58
Ni (0.5016, 0.5000, 0.7473)  4 Ni 2.53-2.59, 4 Ru 2.56, 4 Cu 2.57-2.58
Ru (0.0000, 0.0000, 0.5000)  8 Ni 2.56, 2 Cu 2.56, 2 Ru 2.58



4.
A plane-wave DFT calculation with PBE-GGA was carried out for a relaxed structure of KLiInS2.

Calculated values
- Uncorrected formation energy: -768 meV/atom
- N(E_F): 4.6 states/eV per cell
- Total moment: 1.5 μB per cell
- E: -17.8 eV per formula unit
- Space-group type: P2/c (13)

Cell: 7.2239 5.3580 7.1585 Å, 90.00 95.51 90.00°
Last column: nearest neighbours and their distance in Å.
Positions (direct):
K (0.0000, 0.2363, 0.2500)  6 S 3.28-3.57
K (0.0000, 0.7637, 0.7500)  6 S 3.28-3.57
Li (0.5000, 0.0000, 0.0000)  2 S 2.31
Li (0.5000, 0.0000, 0.5000)  2 S 2.31
In (0.5000, 0.4393, 0.2500)  2 S 2.55
In (0.5000, 0.5607, 0.7500)  2 S 2.55
S (0.2720, 0.2911, 0.9110)  1 Li 2.31, 1 In 2.55
S (0.2720, 0.7089, 0.4110)  1 Li 2.31, 1 In 2.55
S (0.7280, 0.2911, 0.5890)  1 Li 2.31, 1 In 2.55
S (0.7280, 0.7089, 0.0890)  1 Li 2.31, 1 In 2.55